# 1
A PBEsol-optimized structure of AgHg2SbTe, computed with meta-GGA SCAN.

Summary:
**N(E_F)**: 3.5 states/eV per cell
**E**: -240.08 eV/cell
**Symmetry**: P4/mmm (123)

a = 5.129 Å, b = 5.129 Å, c = 5.501 Å
α = 90.00°, β = 90.00°, γ = 90.00°
Last column: magnetic moment on the atom in μB.
Element x y z (fractional)
Sb 0.500 0.500 0.500  -0.10
Te 0.000 0.000 0.500  0.01
Hg 0.000 0.500 0.000  -0.01
Hg 0.500 0.000 0.000  -0.01
Ag 0.000 0.000 0.000  0.00


# 2
A PBEsol-optimized structure of ScAg4Hg, computed with meta-GGA SCAN.

Summary:
**N(E_F)**: 2.7 states/eV per cell
**Energy of formation from the pure elements**: -0.097 eV per atom
**Symmetry**: F-43m (216)

a = 5.381 Å, b = 5.381 Å, c = 5.381 Å
α = 60.00°, β = 60.00°, γ = 60.00°
Element x y z (fractional)
Ag 0.625 0.625 0.625
Ag 0.625 0.125 0.625
Ag 0.125 0.625 0.625
Ag 0.625 0.625 0.125
Hg 0.250 0.250 0.250
Sc 0.000 0.000 0.000


# 3
A PBEsol-optimized structure of Sc2Ag2Hg, computed with meta-GGA SCAN.

Summary:
**N(E_F)**: 2.5 states/eV per cell
**Energy of formation from the pure elements**: 0.001 eV per atom
**Symmetry**: I4/mmm (139)

a = 5.233 Å, b = 5.233 Å, c = 5.437 Å
α = 118.77°, β = 118.77°, γ = 90.00°
Element x y z (fractional)
Sc 0.250 0.750 0.500
Sc 0.750 0.250 0.500
Hg 0.000 0.000 0.000
Ag 0.347 0.347 0.694
Ag 0.653 0.653 0.306


# 4
A PBEsol-optimized structure of ScAg2Hg, computed with meta-GGA SCAN.

Summary:
**N(E_F)**: 1.8 states/eV per cell
**Energy of formation from the pure elements**: -0.299 eV per atom
**Symmetry**: I-4m2 (119)

a = 4.355 Å, b = 4.947 Å, c = 4.355 Å
α = 116.11°, β = 90.00°, γ = 116.11°
Element x y z (fractional)
Sc 0.250 0.500 0.750
Hg 0.000 0.000 0.000
Ag 0.500 0.000 0.500
Ag 0.750 0.500 0.250


# 5
A PBEsol-optimized structure of ScAgHg, computed with meta-GGA SCAN.

Summary:
**N(E_F)**: 1.6 states/eV per cell
**Energy of formation from the pure elements**: -0.378 eV per atom
**Symmetry**: P-6m2 (187)

a = 3.062 Å, b = 4.693 Å, c = 4.693 Å
α = 120.00°, β = 90.00°, γ = 90.00°
Last column: magnetic moment on the atom in μB.
Element x y z (fractional)
Sc 0.334 0.667 0.333  0.08
Hg 0.833 0.333 0.667  0.00
Ag 0.833 0.000 0.000  0.00


# 6
A PBEsol-optimized structure of ScAg2Hg, computed with meta-GGA SCAN.

Summary:
**N(E_F)**: 1.7 states/eV per cell
**Energy of formation from the pure elements**: -0.274 eV per atom
**Symmetry**: I4/mmm (139)

a = 4.342 Å, b = 4.342 Å, c = 4.952 Å
α = 116.01°, β = 116.01°, γ = 90.00°
Element x y z (fractional)
Sc 0.000 0.000 0.000
Hg 0.500 0.500 0.000
Ag 0.750 0.250 0.500
Ag 0.250 0.750 0.500


- Which of these has the highest N(E_F)?
  AgHg2SbTe


- What is the formula in the first record?
  AgHg2SbTe


- Which formula does entry 4 have?
  ScAg2Hg